# NaCaCuBi2 | Alexandria | PBE-GGA | optimized geometry
data_NaCaCuBi2
_chemical_formula_sum 'Na1 Ca1 Cu1 Bi2'
_cell_length_a 5.415
_cell_length_b 5.328
_cell_length_c 5.415
_cell_angle_alpha 90.00
_cell_angle_beta 90.00
_cell_angle_gamma 90.00
_symmetry_space_group_name_H-M 'P 1'
_symmetry_Int_Tables_number 1
_symmetry_space_group_name_Hall 'P 1'
loop_
_atom_site_label
_atom_site_fract_x
_atom_site_fract_y
_atom_site_fract_z
Bi1 0.000 0.000 0.500
Bi2 0.500 0.000 0.000
Ca1 0.000 0.500 0.000
Na1 0.500 0.500 0.500
Cu1 0.000 0.000 0.000
# Spin magnetization in μB per formula unit: 0.0
# E_tot in eV/cell: -15.6
# DFT formation energy in eV per atom: -0.085
# V in Å³ per atom: 31.251

# CaNdCuBi | Alexandria | PBE-GGA | optimized geometry
data_CaNdCuBi
_chemical_formula_sum 'Ca1 Nd1 Cu1 Bi1'
_cell_length_a 5.362
_cell_length_b 5.362
_cell_length_c 5.362
_cell_angle_alpha 60.00
_cell_angle_beta 60.00
_cell_angle_gamma 60.00
_symmetry_space_group_name_H-M 'P 1'
_symmetry_Int_Tables_number 1
_symmetry_space_group_name_Hall 'P 1'
loop_
_atom_site_label
_atom_site_fract_x
_atom_site_fract_y
_atom_site_fract_z
Cu1 0.500 0.500 0.500
Bi1 0.000 0.000 0.000
Nd1 0.750 0.750 0.750
Ca1 0.250 0.250 0.250
# Spin magnetization in μB per formula unit: 0.0
# E_tot in eV/cell: -16.3
# DFT formation energy in eV per atom: -0.376
# V in Å³ per atom: 27.258

# CaCu3Bi4O12 | Alexandria | PBE-GGA | optimized geometry
data_CaCu3Bi4O12
_chemical_formula_sum 'Ca1 Cu3 Bi4 O12'
_cell_length_a 7.106
_cell_length_b 7.106
_cell_length_c 7.106
_cell_angle_alpha 109.47
_cell_angle_beta 109.47
_cell_angle_gamma 109.47
_symmetry_space_group_name_H-M 'P 1'
_symmetry_Int_Tables_number 1
_symmetry_space_group_name_Hall 'P 1'
loop_
_atom_site_label
_atom_site_fract_x
_atom_site_fract_y
_atom_site_fract_z
Bi1 0.000 0.500 0.000
Bi2 0.000 0.000 0.500
Bi3 0.500 0.000 0.000
Bi4 0.500 0.500 0.500
O1 0.321 0.154 0.475
O2 0.846 0.166 0.321
O3 0.154 0.834 0.679
O4 0.154 0.475 0.321
O5 0.321 0.846 0.166
O6 0.166 0.321 0.846
O7 0.475 0.321 0.154
O8 0.679 0.154 0.834
O9 0.679 0.846 0.525
O10 0.525 0.679 0.846
O11 0.834 0.679 0.154
O12 0.846 0.525 0.679
Cu1 0.000 0.500 0.500
Cu2 0.500 0.000 0.500
Cu3 0.500 0.500 0.000
Ca1 0.000 0.000 0.000
# Spin magnetization in μB per formula unit: 0.0
# E_tot in eV/cell: -110.2
# V in Å³ per atom: 13.810
# Uncorrected formation energy in meV/atom: -1047

# CaCuBiO4 | Alexandria | PBE-GGA | optimized geometry
data_CaCuBiO4
_chemical_formula_sum 'Ca2 Cu2 Bi2 O8'
_cell_length_a 5.766
_cell_length_b 5.766
_cell_length_c 7.069
_cell_angle_alpha 90.00
_cell_angle_beta 90.00
_cell_angle_gamma 116.73
_symmetry_space_group_name_H-M 'P 1'
_symmetry_Int_Tables_number 1
_symmetry_space_group_name_Hall 'P 1'
loop_
_atom_site_label
_atom_site_fract_x
_atom_site_fract_y
_atom_site_fract_z
Cu1 0.849 0.151 0.750
Cu2 0.151 0.849 0.250
Ca1 0.500 0.500 0.500
Ca2 0.500 0.500 0.000
Bi1 0.167 0.833 0.750
Bi2 0.833 0.167 0.250
O1 0.770 0.765 0.750
O2 0.235 0.230 0.750
O3 0.260 0.740 0.032
O4 0.740 0.260 0.968
O5 0.740 0.260 0.532
O6 0.765 0.770 0.250
O7 0.260 0.740 0.468
O8 0.230 0.235 0.250
# Spin magnetization in μB per formula unit: 0.5
# E_tot in eV/cell: -78.3
# V in Å³ per atom: 14.992
# Uncorrected formation energy in meV/atom: -1335

# SrCa2Cu2Bi2O8 | Alexandria | PBE-GGA | optimized geometry
data_SrCa2Cu2Bi2O8
_chemical_formula_sum 'Sr2 Ca4 Cu4 Bi4 O16'
_cell_length_a 15.958
_cell_length_b 15.958
_cell_length_c 5.246
_cell_angle_alpha 90.00
_cell_angle_beta 90.00
_cell_angle_gamma 159.93
_symmetry_space_group_name_H-M 'P 1'
_symmetry_Int_Tables_number 1
_symmetry_space_group_name_Hall 'P 1'
loop_
_atom_site_label
_atom_site_fract_x
_atom_site_fract_y
_atom_site_fract_z
O1 0.101 0.222 0.500
O2 0.305 0.695 0.250
O3 0.695 0.305 0.250
O4 0.190 0.810 0.750
O5 0.577 0.810 0.500
O6 0.899 0.778 0.500
O7 0.810 0.190 0.750
O8 0.423 0.190 0.500
O9 0.190 0.423 0.000
O10 0.222 0.101 0.000
O11 0.695 0.305 0.750
O12 0.305 0.695 0.750
O13 0.190 0.810 0.250
O14 0.810 0.190 0.250
O15 0.810 0.577 0.000
O16 0.778 0.899 0.000
Sr1 0.500 0.000 0.000
Sr2 0.000 0.500 0.500
Bi1 0.723 0.831 0.500
Bi2 0.277 0.169 0.500
Bi3 0.831 0.723 0.000
Bi4 0.169 0.277 0.000
Ca1 0.413 0.127 0.000
Ca2 0.127 0.413 0.500
Ca3 0.873 0.587 0.500
Ca4 0.587 0.873 0.000
Cu1 0.945 0.559 0.000
Cu2 0.441 0.055 0.500
Cu3 0.055 0.441 0.000
Cu4 0.559 0.945 0.500
# Spin magnetization in μB per formula unit: 0.0
# E_tot in eV/cell: -172.4
# V in Å³ per atom: 15.282
# Uncorrected formation energy in meV/atom: -1659

# SrCaCuBiO6 | Alexandria | PBE-GGA | optimized geometry
data_SrCaCuBiO6
_chemical_formula_sum 'Sr1 Ca1 Cu1 Bi1 O6'
_cell_length_a 5.735
_cell_length_b 5.735
_cell_length_c 5.735
_cell_angle_alpha 60.00
_cell_angle_beta 60.00
_cell_angle_gamma 60.00
_symmetry_space_group_name_H-M 'P 1'
_symmetry_Int_Tables_number 1
_symmetry_space_group_name_Hall 'P 1'
loop_
_atom_site_label
_atom_site_fract_x
_atom_site_fract_y
_atom_site_fract_z
O1 0.740 0.260 0.740
O2 0.260 0.260 0.740
O3 0.260 0.740 0.260
O4 0.740 0.260 0.260
O5 0.260 0.740 0.740
O6 0.740 0.740 0.260
Ca1 0.750 0.750 0.750
Bi1 0.000 0.000 0.000
Cu1 0.500 0.500 0.500
Sr1 0.250 0.250 0.250
# Spin magnetization in μB per formula unit: 0.0
# E_tot in eV/cell: -56.3
# V in Å³ per atom: 13.341
# Uncorrected formation energy in meV/atom: -1486

# Ca2CuBiP | Alexandria | PBE-GGA | optimized geometry
data_Ca2CuBiP
_chemical_formula_sum 'Ca2 Cu1 Bi1 P1'
_cell_length_a 5.605
_cell_length_b 5.605
_cell_length_c 4.299
_cell_angle_alpha 90.00
_cell_angle_beta 90.00
_cell_angle_gamma 90.00
_symmetry_space_group_name_H-M 'P 1'
_symmetry_Int_Tables_number 1
_symmetry_space_group_name_Hall 'P 1'
loop_
_atom_site_label
_atom_site_fract_x
_atom_site_fract_y
_atom_site_fract_z
Bi1 0.500 0.500 0.500
Cu1 0.000 0.000 0.500
Ca1 0.000 0.500 0.000
Ca2 0.500 0.000 0.000
P1 0.000 0.000 0.000
# Spin magnetization in μB per formula unit: 0.0
# E_tot in eV/cell: -20.4
# DFT formation energy in eV per atom: -0.608
# V in Å³ per atom: 27.011

# CaCuBiPd | Alexandria | PBE-GGA | optimized geometry
data_CaCuBiPd
_chemical_formula_sum 'Ca1 Cu1 Bi1 Pd1'
_cell_length_a 4.902
_cell_length_b 4.902
_cell_length_c 4.902
_cell_angle_alpha 60.00
_cell_angle_beta 60.00
_cell_angle_gamma 60.00
_symmetry_space_group_name_H-M 'P 1'
_symmetry_Int_Tables_number 1
_symmetry_space_group_name_Hall 'P 1'
loop_
_atom_site_label
_atom_site_fract_x
_atom_site_fract_y
_atom_site_fract_z
Bi1 0.750 0.750 0.750
Ca1 0.250 0.250 0.250
Pd1 0.000 0.000 0.000
Cu1 0.500 0.500 0.500
# Spin magnetization in μB per formula unit: 0.0
# E_tot in eV/cell: -16.7
# DFT formation energy in eV per atom: -0.375
# V in Å³ per atom: 20.818

# Ca2Cu2BiPd5 | Alexandria | PBE-GGA | optimized geometry
data_Ca2Cu2BiPd5
_chemical_formula_sum 'Ca4 Cu4 Bi2 Pd10'
_cell_length_a 3.897
_cell_length_b 9.693
_cell_length_c 9.693
_cell_angle_alpha 90.00
_cell_angle_beta 90.00
_cell_angle_gamma 90.00
_symmetry_space_group_name_H-M 'P 1'
_symmetry_Int_Tables_number 1
_symmetry_space_group_name_Hall 'P 1'
loop_
_atom_site_label
_atom_site_fract_x
_atom_site_fract_y
_atom_site_fract_z
Pd1 0.500 0.287 0.569
Pd2 0.500 0.213 0.069
Pd3 0.500 0.431 0.287
Pd4 0.500 0.787 0.931
Pd5 0.500 0.569 0.713
Pd6 0.500 0.500 0.000
Pd7 0.500 0.000 0.500
Pd8 0.500 0.931 0.213
Pd9 0.500 0.713 0.431
Pd10 0.500 0.069 0.787
Bi1 0.000 0.000 0.000
Bi2 0.000 0.500 0.500
Cu1 0.000 0.878 0.378
Cu2 0.000 0.622 0.878
Cu3 0.000 0.122 0.622
Cu4 0.000 0.378 0.122
Ca1 0.000 0.826 0.674
Ca2 0.000 0.174 0.326
Ca3 0.000 0.326 0.826
Ca4 0.000 0.674 0.174
# Spin magnetization in μB per formula unit: 0.0
# E_tot in eV/cell: -94.5
# DFT formation energy in eV per atom: -0.523
# V in Å³ per atom: 18.306

# CaCuBiRh | Alexandria | PBE-GGA | optimized geometry
data_CaCuBiRh
_chemical_formula_sum 'Ca1 Cu1 Bi1 Rh1'
_cell_length_a 4.832
_cell_length_b 4.832
_cell_length_c 4.832
_cell_angle_alpha 60.00
_cell_angle_beta 60.00
_cell_angle_gamma 60.00
_symmetry_space_group_name_H-M 'P 1'
_symmetry_Int_Tables_number 1
_symmetry_space_group_name_Hall 'P 1'
loop_
_atom_site_label
_atom_site_fract_x
_atom_site_fract_y
_atom_site_fract_z
Rh1 0.750 0.750 0.750
Cu1 0.250 0.250 0.250
Bi1 0.000 0.000 0.000
Ca1 0.500 0.500 0.500
# Spin magnetization in μB per formula unit: 0.0
# E_tot in eV/cell: -18.1
# DFT formation energy in eV per atom: -0.193
# V in Å³ per atom: 19.948

# Ca2CuBiRh | Alexandria | PBE-GGA | optimized geometry
data_Ca2CuBiRh
_chemical_formula_sum 'Ca2 Cu1 Bi1 Rh1'
_cell_length_a 5.975
_cell_length_b 5.975
_cell_length_c 4.982
_cell_angle_alpha 90.00
_cell_angle_beta 90.00
_cell_angle_gamma 90.00
_symmetry_space_group_name_H-M 'P 1'
_symmetry_Int_Tables_number 1
_symmetry_space_group_name_Hall 'P 1'
loop_
_atom_site_label
_atom_site_fract_x
_atom_site_fract_y
_atom_site_fract_z
Ca1 0.000 0.500 0.000
Ca2 0.500 0.000 0.000
Bi1 0.000 0.000 0.000
Cu1 0.500 0.500 0.500
Rh1 0.000 0.000 0.500
# Spin magnetization in μB per formula unit: 0.0
# E_tot in eV/cell: -17.1
# DFT formation energy in eV per atom: 0.442
# V in Å³ per atom: 35.579

spin magnetization of number 2 (CaNdCuBi)?
0.0 μB per formula unit